[1]
Computed, not measured: a relaxed structure of Pm12SmHo7 at the GGA-PBE level of DFT.

Cell: 11.517 11.517 11.517 Å, 116.87 116.87 116.87°
Fractional positions:
Pm1 0.000 0.413 0.587
Pm2 0.000 0.587 0.413
Pm3 0.084 0.084 0.439
Pm4 0.084 0.439 0.084
Pm5 0.413 0.000 0.587
Pm6 0.413 0.587 0.000
Pm7 0.439 0.084 0.084
Pm8 0.561 0.916 0.916
Pm9 0.587 0.000 0.413
Pm10 0.587 0.413 0.000
Pm11 0.916 0.561 0.916
Pm12 0.916 0.916 0.561
Sm1 0.500 0.500 0.500
Ho1 0.000 0.000 0.000
Ho2 0.128 0.373 0.373
Ho3 0.373 0.128 0.373
Ho4 0.373 0.373 0.128
Ho5 0.627 0.627 0.872
Ho6 0.627 0.872 0.627
Ho7 0.872 0.627 0.627

**Energy relative to the elements**: 0.255 eV per atom
**E**: -4.434 eV per atom
**Energy above the lowest structure with this stoichiometry**: 153 meV per atom

***

[2]
Computed, not measured: a relaxed structure of Nd4Ir3Pt at the GGA-PBE level of DFT.

Cell: 4.040 4.250 11.055 Å, 90.00 90.00 90.00°
Fractional positions:
Nd1 0.000 0.000 0.000
Nd2 0.000 0.500 0.281
Nd3 0.500 0.000 0.492
Nd4 0.500 0.500 0.784
Ir1 0.000 0.500 0.555
Ir2 0.500 0.000 0.218
Ir3 0.500 0.500 0.055
Pt1 0.000 0.000 0.721

**Energy relative to the elements**: -0.750 eV per atom
**E**: -7.212 eV per atom

***

[3]
Computed, not measured: a relaxed structure of LaGa2CuGe at the GGA-PBE level of DFT.

Cell: 5.841 5.841 5.503 Å, 90.00 90.00 90.00°
Fractional positions:
La1 0.000 0.000 0.000
Ga1 0.000 0.500 0.000
Ga2 0.500 0.000 0.000
Cu1 0.500 0.500 0.500
Ge1 0.000 0.000 0.500

**Energy relative to the elements**: 1.143 eV per atom
**E**: -2.796 eV per atom

***

[4]
Computed, not measured: a relaxed structure of Dy3Ho8 at the GGA-PBE level of DFT.

Cell: 7.104 7.104 7.104 Å, 84.30 84.30 84.30°
Fractional positions:
Dy1 0.000 0.500 0.500
Dy2 0.500 0.000 0.500
Dy3 0.500 0.500 0.000
Ho1 0.119 0.846 0.697
Ho2 0.154 0.303 0.881
Ho3 0.303 0.881 0.154
Ho4 0.386 0.386 0.386
Ho5 0.614 0.614 0.614
Ho6 0.697 0.119 0.846
Ho7 0.846 0.697 0.119
Ho8 0.881 0.154 0.303

**Energy relative to the elements**: 0.582 eV per atom
**E**: -4.002 eV per atom
**Energy above the lowest structure with this stoichiometry**: 562 meV per atom

***

[5]
Computed, not measured: a relaxed structure of Ga4Ag5 at the GGA-PBE level of DFT.

Cell: 7.159 7.159 3.388 Å, 103.08 103.08 75.35°
Fractional positions:
Ga1 0.014 0.666 0.843
Ga2 0.334 0.986 0.157
Ga3 0.666 0.014 0.843
Ga4 0.986 0.334 0.157
Ag1 0.000 0.000 0.500
Ag2 0.318 0.318 0.818
Ag3 0.337 0.663 0.500
Ag4 0.663 0.337 0.500
Ag5 0.682 0.682 0.182

**Energy relative to the elements**: 0.015 eV per atom
**E**: -2.914 eV per atom
**Energy above the lowest structure with this stoichiometry**: 0 meV per atom

***

[6]
Computed, not measured: a relaxed structure of RbPaClO2 at the GGA-PBE level of DFT.

Cell: 4.165 4.165 7.202 Å, 90.00 90.00 90.00°
Fractional positions:
Rb1 0.000 0.000 0.000
Pa1 0.500 0.500 0.386
Cl1 0.500 0.500 0.772
O1 0.000 0.500 0.300
O2 0.500 0.000 0.300

**E**: -7.042 eV per atom
**Raw formation energy**: -12.98 eV/f.u.

***

[7]
Computed, not measured: a relaxed structure of CaZr2Pt at the GGA-PBE level of DFT.

Cell: 3.668 4.649 5.113 Å, 90.00 90.00 90.00°
Fractional positions:
Ca1 0.000 0.000 0.000
Zr1 0.000 0.500 0.500
Zr2 0.500 0.000 0.500
Pt1 0.500 0.500 0.000

**Energy relative to the elements**: -0.199 eV per atom
**E**: -6.484 eV per atom
**Energy above the lowest structure with this stoichiometry**: 259 meV per atom

***

[8]
Computed, not measured: a relaxed structure of RbPa2IrO8 at the GGA-PBE level of DFT.

Cell: 5.400 5.400 7.915 Å, 90.00 90.00 120.00°
Fractional positions:
Rb1 0.000 0.000 0.000
Pa1 0.333 0.667 0.381
Pa2 0.667 0.333 0.619
Ir1 0.000 0.000 0.500
O1 0.178 0.356 0.629
O2 0.178 0.822 0.629
O3 0.333 0.667 0.145
O4 0.356 0.178 0.371
O5 0.644 0.822 0.629
O6 0.667 0.333 0.855
O7 0.822 0.178 0.371
O8 0.822 0.644 0.371

**E**: -7.930 eV per atom
**Raw formation energy**: -26.67 eV/f.u.